[1]
## KBaAs2 (PBE)

Data for KBaAs2 after structural relaxation.

- energy above the lowest structure with this stoichiometry (eV per atom) = 0.034
- crystal system = tetragonal
- ΔH_f (0 K) (meV/atom) = -652
- Fermi-level density of states (states/eV per cell) = 2.57

Cell lengths 4.437, 4.437, 7.200 Å; angles 90.00, 90.00, 90.00 degrees
Fractional coordinates of all 4 atoms:
As: 0.000 0.000 0.421
K: 0.500 0.500 0.750
Ba: 0.500 0.500 0.250
As: 0.000 0.000 0.079

[2]
## MgCr3Ru (PBE)

Data for MgCr3Ru after structural relaxation.

- energy above the lowest structure with this stoichiometry (eV per atom) = 1.028
- crystal system = cubic
- ΔH_f (0 K) (meV/atom) = 2133
- Fermi-level density of states (states/eV per cell) = 11.34

Cell lengths 4.630, 4.630, 4.630 Å; angles 90.00, 90.00, 90.00 degrees
Fractional coordinates of all 5 atoms:
Cr: 0.500 0.000 0.000
Ru: 0.500 0.500 0.500
Mg: 0.000 0.000 0.000
Cr: 0.000 0.000 0.500
Cr: 0.000 0.500 0.000

[3]
## PrInO (PBE)

Data for PrInO after structural relaxation.

- energy above the lowest structure with this stoichiometry (eV per atom) = 0.056
- crystal system = trigonal
- Fermi-level density of states (states/eV per cell) = 0.58

Cell lengths 3.962, 3.961, 10.691 Å; angles 79.33, 90.00, 120.01 degrees
Fractional coordinates of all 6 atoms:
In: 0.634 0.269 0.598
Pr: 0.216 0.431 0.853
Pr: 0.784 0.569 0.147
O: 0.862 0.725 0.913
O: 0.138 0.275 0.087
In: 0.366 0.731 0.402

[4]
## ZnGeAsIrAu (PBE)

Data for ZnGeAsIrAu after structural relaxation.

- energy above the lowest structure with this stoichiometry (eV per atom) = 0.050
- crystal system = monoclinic
- ΔH_f (0 K) (meV/atom) = -66
- Fermi-level density of states (states/eV per cell) = 4.79

Cell lengths 7.662, 3.079, 8.690 Å; angles 90.00, 118.78, 90.00 degrees
Fractional coordinates of all 10 atoms:
Zn: 0.325 0.500 0.503
Au: 0.504 0.500 0.872
As: 0.703 0.000 0.740
Au: 0.504 0.000 0.372
Zn: 0.325 0.000 0.003
Ir: 0.000 0.500 0.899
Ge: 0.077 0.500 0.653
As: 0.703 0.500 0.240
Ir: 0.000 0.000 0.399
Ge: 0.077 0.000 0.153